VASP calculation (PBE) on a relaxed structure of Ba3Na3Hg8.

## Properties
Uncorrected energy   -17.4 eV/cell
Magnetization   0.00 Bohr magnetons per cell
Formation enthalpy at 0 K   -0.379 eV per atom
SG   Immm, No. 71

Cell: 9.9570 9.9570 9.9570 Å, 150.14 115.47 72.71°
Last column: nearest neighbours and their distance in Å.
Atoms (fractional coordinates):
Ba 0.0000 0.0000 0.0000  12 Hg 3.88-3.93, 4 Na 4.13
Ba 0.2812 0.2812 0.0000  12 Hg 3.58-3.90
Ba 0.7188 0.7188 0.0000  12 Hg 3.58-3.90
Na 0.3041 0.5000 0.8041  6 Hg 3.06-3.41, 2 Na 3.30
Na 0.5000 0.0000 0.5000  4 Hg 3.11, 4 Na 3.30
Na 0.6959 0.5000 0.1959  6 Hg 3.06-3.41, 2 Na 3.30
Hg 0.0145 0.6589 0.3556  4 Hg 3.06-3.28, 1 Na 3.06
Hg 0.1578 0.8599 0.2979  3 Hg 3.06-3.28, 3 Na 3.11-3.41
Hg 0.3033 0.6589 0.6444  4 Hg 3.06-3.28, 1 Na 3.06
Hg 0.4380 0.1401 0.2979  3 Hg 3.06-3.28, 3 Na 3.11-3.41
Hg 0.5620 0.8599 0.7021  3 Hg 3.06-3.28, 3 Na 3.11-3.41
Hg 0.6967 0.3411 0.3556  4 Hg 3.06-3.28, 1 Na 3.06
Hg 0.8422 0.1401 0.7021  3 Hg 3.06-3.28, 3 Na 3.11-3.41
Hg 0.9855 0.3411 0.6444  4 Hg 3.06-3.28, 1 Na 3.06

VASP calculation (PBE) on a relaxed structure of Ba4Na2Hg.

## Properties
Uncorrected energy   -10.8 eV/cell
Magnetization   0.40 Bohr magnetons per cell
Excess energy over the best structure of this formula in the dataset   0.087 eV per atom
Formation enthalpy at 0 K   -0.030 eV per atom
SG   I4/mmm, No. 139

Cell: 10.9764 10.9764 10.9764 Å, 145.52 145.52 49.57°
Last column: nearest neighbours and their distance in Å.
Atoms (fractional coordinates):
Ba 0.0000 0.5000 0.5000  2 Hg 3.25
Ba 0.1733 0.1733 0.0000  1 Hg 3.45
Ba 0.5000 0.0000 0.5000  2 Hg 3.25
Ba 0.8267 0.8267 0.0000  1 Hg 3.45
Na 0.3729 0.3729 0.0000  5 Ba 3.98-4.12
Na 0.6271 0.6271 0.0000  5 Ba 3.98-4.12
Hg 0.0000 0.0000 0.0000  6 Ba 3.25-3.45

VASP calculation (PBE) on a relaxed structure of Ba6NaHg2.

## Properties
Uncorrected energy   -30.9 eV/cell
Magnetization   0.01 Bohr magnetons per cell
Formation enthalpy at 0 K   -0.221 eV per atom
SG   Immm, No. 71

Cell: 10.5890 10.5890 10.5890 Å, 116.84 110.63 101.31°
Last column: nearest neighbours and their distance in Å.
Atoms (fractional coordinates):
Ba 0.0316 0.2345 0.7972  1 Hg 3.51
Ba 0.1800 0.2956 0.4756  3 Hg 3.59-3.75, 1 Na 3.93
Ba 0.1800 0.7044 0.8844  3 Hg 3.59-3.75, 1 Na 3.93
Ba 0.3345 0.0236 0.6891  3 Hg 3.45-3.67
Ba 0.3345 0.6454 0.3109  3 Hg 3.45-3.67
Ba 0.4373 0.2345 0.2028  1 Hg 3.51
Ba 0.5627 0.7655 0.7972  1 Hg 3.51
Ba 0.6655 0.3546 0.6891  3 Hg 3.45-3.67
Ba 0.6655 0.9764 0.3109  3 Hg 3.45-3.67
Ba 0.8200 0.2956 0.1156  3 Hg 3.59-3.75, 1 Na 3.93
Ba 0.8200 0.7044 0.5244  3 Hg 3.59-3.75, 1 Na 3.93
Ba 0.9684 0.7655 0.2028  1 Hg 3.51
Na 0.0000 0.0000 0.0000  8 Ba 3.93-3.99, 2 Hg 3.99
Na 0.5000 0.5000 0.0000  12 Ba 4.10-4.47
Hg 0.1301 0.6301 0.5000  6 Ba 3.45-3.59, 1 Hg 3.49
Hg 0.3307 0.0000 0.3307  8 Ba 3.51-3.75
Hg 0.6693 0.0000 0.6693  8 Ba 3.51-3.75
Hg 0.8699 0.3699 0.5000  6 Ba 3.45-3.59, 1 Hg 3.49

VASP calculation (PBE) on a relaxed structure of Ba4NaHg3.

## Properties
Uncorrected energy   -13.0 eV/cell
Magnetization   0.00 Bohr magnetons per cell
Formation enthalpy at 0 K   -0.390 eV per atom
SG   Pmmm, No. 47

Cell: 4.3053 6.0284 12.1095 Å, 90.00 90.00 90.00°
Last column: nearest neighbours and their distance in Å.
Atoms (fractional coordinates):
Ba 0.0000 0.0000 0.0000  8 Hg 3.70-3.83, 4 Ba 4.12
Ba 0.0000 0.0000 0.5000  4 Hg 3.60, 4 Na 3.70
Ba 0.0000 0.5000 0.2325  6 Hg 3.54-3.72, 2 Na 3.89
Ba 0.0000 0.5000 0.7675  6 Hg 3.54-3.72, 2 Na 3.89
Na 0.5000 0.5000 0.5000  8 Ba 3.70-3.89
Hg 0.5000 0.0000 0.2619  8 Ba 3.60-3.83
Hg 0.5000 0.0000 0.7381  8 Ba 3.60-3.83
Hg 0.5000 0.5000 0.0000  8 Ba 3.54-3.70

VASP calculation (PBE) on a relaxed structure of Ba2NaHg3.

## Properties
Uncorrected energy   -17.3 eV/cell
Magnetization   0.00 Bohr magnetons per cell
Excess energy over the best structure of this formula in the dataset   0.000 eV per atom
Formation enthalpy at 0 K   -0.427 eV per atom
SG   P-3m1, No. 164

Cell: 5.8009 5.8009 14.1107 Å, 90.00 90.00 120.00°
Last column: nearest neighbours and their distance in Å.
Atoms (fractional coordinates):
Ba 0.0000 0.0000 0.0000  8 Hg 3.54-3.58
Ba 0.0000 0.0000 0.5000  8 Hg 3.47-3.51
Ba 0.3333 0.6667 0.1781  8 Hg 3.49-3.66
Ba 0.6667 0.3333 0.8219  8 Hg 3.49-3.66
Na 0.3333 0.6667 0.6681  8 Hg 3.42-3.60
Na 0.6667 0.3333 0.3319  8 Hg 3.42-3.60
Hg 0.0000 0.0000 0.2539  5 Ba 3.47-3.58, 3 Na 3.53
Hg 0.0000 0.0000 0.7461  5 Ba 3.47-3.58, 3 Na 3.53
Hg 0.3333 0.6667 0.4256  4 Na 3.42-3.60, 4 Ba 3.49-3.51
Hg 0.3333 0.6667 0.9184  1 Na 3.53, 7 Ba 3.54-3.66
Hg 0.6667 0.3333 0.0816  1 Na 3.53, 7 Ba 3.54-3.66
Hg 0.6667 0.3333 0.5744  4 Na 3.42-3.60, 4 Ba 3.49-3.51

VASP calculation (PBE) on a relaxed structure of BaNa2Hg2.

## Properties
Uncorrected energy   -12.8 eV/cell
Magnetization   0.90 Bohr magnetons per cell
Excess energy over the best structure of this formula in the dataset   0.067 eV per atom
Formation enthalpy at 0 K   -0.244 eV per atom
SG   P4/mbm, No. 127

Cell: 8.6765 8.6765 4.5768 Å, 90.00 90.00 90.00°
Last column: nearest neighbours and their distance in Å.
Atoms (fractional coordinates):
Ba 0.0000 0.0000 0.0000  4 Hg 3.44
Ba 0.5000 0.5000 0.0000  4 Hg 3.44
Na 0.1574 0.3426 0.5000  6 Hg 3.36-3.53
Na 0.3426 0.8426 0.5000  6 Hg 3.36-3.53
Na 0.6574 0.1574 0.5000  6 Hg 3.36-3.53
Na 0.8426 0.6574 0.5000  6 Hg 3.36-3.53
Hg 0.1240 0.6240 0.0000  1 Hg 3.04, 4 Na 3.36
Hg 0.3760 0.1240 0.0000  1 Hg 3.04, 4 Na 3.36
Hg 0.6240 0.8760 0.0000  1 Hg 3.04, 4 Na 3.36
Hg 0.8760 0.3760 0.0000  1 Hg 3.04, 4 Na 3.36

VASP calculation (PBE) on a relaxed structure of Ba2Na5Hg4.

## Properties
Uncorrected energy   -14.3 eV/cell
Magnetization   0.00 Bohr magnetons per cell
Excess energy over the best structure of this formula in the dataset   0.022 eV per atom
Formation enthalpy at 0 K   -0.243 eV per atom
SG   Fmmm, No. 69

Cell: 11.8379 11.0784 6.2014 Å, 81.19 67.64 31.18°
Last column: nearest neighbours and their distance in Å.
Atoms (fractional coordinates):
Ba 0.1310 0.1310 0.8690  6 Hg 3.61-3.65, 4 Na 4.00
Ba 0.8690 0.8690 0.1310  6 Hg 3.61-3.65, 4 Na 4.00
Na 0.0000 0.0000 0.5000  4 Na 3.10-3.24, 4 Hg 3.30
Na 0.2500 0.2500 0.2500  4 Hg 3.21, 2 Na 3.24
Na 0.5000 0.5000 0.0000  4 Na 3.10-3.24, 4 Hg 3.30
Na 0.5000 0.5000 0.5000  4 Na 3.10, 4 Hg 3.18
Na 0.7500 0.7500 0.7500  4 Hg 3.21, 2 Na 3.24
Hg 0.2138 0.5306 0.4694  5 Na 3.18-3.30, 1 Hg 3.35
Hg 0.4694 0.7862 0.2138  5 Na 3.18-3.30, 1 Hg 3.35
Hg 0.5306 0.2138 0.7862  5 Na 3.18-3.30, 1 Hg 3.35
Hg 0.7862 0.4694 0.5306  5 Na 3.18-3.30, 1 Hg 3.35

VASP calculation (PBE) on a relaxed structure of Ba6Na5Hg.

## Properties
Uncorrected energy   -19.4 eV/cell
Magnetization   0.00 Bohr magnetons per cell
Formation enthalpy at 0 K   -0.078 eV per atom
SG   P2/m, No. 10

Cell: 6.4021 9.2426 10.1592 Å, 90.00 108.19 90.00°
Last column: nearest neighbours and their distance in Å.
Atoms (fractional coordinates):
Ba 0.0000 0.2223 0.0000  2 Hg 3.80, 6 Na 4.01-4.20, 1 Ba 4.11
Ba 0.0000 0.7777 0.0000  2 Hg 3.80, 6 Na 4.01-4.20, 1 Ba 4.11
Ba 0.3507 0.2341 0.6965  1 Hg 3.64, 6 Na 3.82-4.06
Ba 0.3507 0.7659 0.6965  1 Hg 3.64, 6 Na 3.82-4.06
Ba 0.6493 0.2341 0.3035  1 Hg 3.64, 6 Na 3.82-4.06
Ba 0.6493 0.7659 0.3035  1 Hg 3.64, 6 Na 3.82-4.06
Na 0.1697 0.5000 0.3445  8 Ba 4.05-4.20, 2 Na 4.36-4.42
Na 0.1749 0.0000 0.3566  8 Ba 3.89-4.01, 2 Na 4.19-4.27
Na 0.5000 0.5000 0.0000  8 Ba 3.82-4.10
Na 0.8251 0.0000 0.6434  8 Ba 3.89-4.01, 2 Na 4.19-4.27
Na 0.8303 0.5000 0.6555  8 Ba 4.05-4.20, 2 Na 4.36-4.42
Hg 0.5000 0.0000 0.0000  8 Ba 3.64-3.80

VASP calculation (PBE) on a relaxed structure of Ba3Na2Hg2.

## Properties
Uncorrected energy   -11.0 eV/cell
Magnetization   0.00 Bohr magnetons per cell
Formation enthalpy at 0 K   -0.290 eV per atom
SG   R-3m, No. 166

Cell: 9.6392 9.6392 9.6392 Å, 36.42 36.42 36.42°
Last column: nearest neighbours and their distance in Å.
Atoms (fractional coordinates):
Ba 0.0000 0.0000 0.0000  6 Hg 3.70
Ba 0.4168 0.4168 0.4168  4 Hg 3.50-3.62
Ba 0.5832 0.5832 0.5832  4 Hg 3.50-3.62
Na 0.1659 0.1659 0.1659  1 Hg 3.26, 3 Na 3.48
Na 0.8341 0.8341 0.8341  1 Hg 3.26, 3 Na 3.48
Hg 0.2869 0.2869 0.2869  1 Na 3.26, 4 Ba 3.50-3.62
Hg 0.7131 0.7131 0.7131  1 Na 3.26, 4 Ba 3.50-3.62

VASP calculation (PBE) on a relaxed structure of Ba4NaHg2.

## Properties
Uncorrected energy   -11.2 eV/cell
Magnetization   0.00 Bohr magnetons per cell
Excess energy over the best structure of this formula in the dataset   0.015 eV per atom
Formation enthalpy at 0 K   -0.226 eV per atom
SG   R-3m, No. 166

Cell: 11.3081 11.3081 11.3081 Å, 30.34 30.34 30.34°
Last column: nearest neighbours and their distance in Å.
Atoms (fractional coordinates):
Ba 0.1128 0.1128 0.1128  3 Hg 3.67, 3 Na 3.83
Ba 0.2958 0.2958 0.2958  4 Hg 3.53-3.59
Ba 0.7042 0.7042 0.7042  4 Hg 3.53-3.59
Ba 0.8872 0.8872 0.8872  3 Hg 3.67, 3 Na 3.83
Na 0.5000 0.5000 0.5000  2 Hg 3.07
Hg 0.4050 0.4050 0.4050  1 Na 3.07
Hg 0.5950 0.5950 0.5950  1 Na 3.07

Copy entry 4 word for word.
VASP calculation (PBE) on a relaxed structure of Ba4NaHg3.

## Properties
Uncorrected energy   -13.0 eV/cell
Magnetization   0.00 Bohr magnetons per cell
Formation enthalpy at 0 K   -0.390 eV per atom
SG   Pmmm, No. 47

Cell: 4.3053 6.0284 12.1095 Å, 90.00 90.00 90.00°
Last column: nearest neighbours and their distance in Å.
Atoms (fractional coordinates):
Ba 0.0000 0.0000 0.0000  8 Hg 3.70-3.83, 4 Ba 4.12
Ba 0.0000 0.0000 0.5000  4 Hg 3.60, 4 Na 3.70
Ba 0.0000 0.5000 0.2325  6 Hg 3.54-3.72, 2 Na 3.89
Ba 0.0000 0.5000 0.7675  6 Hg 3.54-3.72, 2 Na 3.89
Na 0.5000 0.5000 0.5000  8 Ba 3.70-3.89
Hg 0.5000 0.0000 0.2619  8 Ba 3.60-3.83
Hg 0.5000 0.0000 0.7381  8 Ba 3.60-3.83
Hg 0.5000 0.5000 0.0000  8 Ba 3.54-3.70

Repeat the fourth record exactly.
VASP calculation (PBE) on a relaxed structure of Ba4NaHg3.

## Properties
Uncorrected energy   -13.0 eV/cell
Magnetization   0.00 Bohr magnetons per cell
Formation enthalpy at 0 K   -0.390 eV per atom
SG   Pmmm, No. 47

Cell: 4.3053 6.0284 12.1095 Å, 90.00 90.00 90.00°
Last column: nearest neighbours and their distance in Å.
Atoms (fractional coordinates):
Ba 0.0000 0.0000 0.0000  8 Hg 3.70-3.83, 4 Ba 4.12
Ba 0.0000 0.0000 0.5000  4 Hg 3.60, 4 Na 3.70
Ba 0.0000 0.5000 0.2325  6 Hg 3.54-3.72, 2 Na 3.89
Ba 0.0000 0.5000 0.7675  6 Hg 3.54-3.72, 2 Na 3.89
Na 0.5000 0.5000 0.5000  8 Ba 3.70-3.89
Hg 0.5000 0.0000 0.2619  8 Ba 3.60-3.83
Hg 0.5000 0.0000 0.7381  8 Ba 3.60-3.83
Hg 0.5000 0.5000 0.0000  8 Ba 3.54-3.70

What is the uncorrected energy in the second record?
-10.8 eV/cell

Among the records above, which one has the lowest uncorrected energy?
Ba6NaHg2